! TlCl5 (GGA-PBE, relaxed); values from VASP
! - Electronic total energy: -1.953 eV/atom
! - Raw formation energy: -19.9 meV/atom
! - Symmetry: Amm2, No. 38
! - E above lowest polymorph: 367 meV/atom
! - DOS(E_F): 5.49 states/eV per cell
&SYSTEM
  ibrav = 0, nat = 6, ntyp = 2
/
ATOMIC_SPECIES
Tl 204.38 Tl.upf
Cl 35.45 Cl.upf
CELL_PARAMETERS angstrom
3.900 0.000 0.000
0.000 1.812 12.844
0.000 -1.812 12.844
ATOMIC_POSITIONS crystal
Tl 0.000 0.000 0.000
Cl 0.000 0.296 0.296
Cl 0.000 0.636 0.636
Cl 0.500 0.136 0.136
Cl 0.500 0.446 0.446
Cl 0.500 0.796 0.796